Arrangement 1

Li2MnCrO4, optimized geometry, DFT GGA+U; spin magnetization = 14.00 μB per cell
1.0
4.137 -4.152 0.000
4.137 4.152 0.000
-4.082 0.000 4.402
Li Mn Cr O
4 2 2 8
Cartesian
0.000 0.000 0.000
-2.041 0.000 2.201
2.068 2.076 0.000
0.027 -2.076 2.201
0.027 2.076 2.201
2.068 -2.076 0.000
4.137 0.000 0.000
2.095 0.000 2.201
1.977 2.023 2.141
0.065 0.087 2.354
4.255 2.023 0.060
2.106 -0.087 0.153
2.084 0.087 4.249
-0.064 -2.023 4.342
4.125 -0.087 2.048
2.214 -2.023 2.261

***

Arrangement 2

Li2MnCrO4, optimized geometry, DFT GGA+U; spin magnetization = 14.00 μB per cell
1.0
2.912 -4.361 0.000
2.912 4.361 0.000
0.000 0.000 5.824
Li Mn Cr O
4 2 2 8
Cartesian
2.912 2.234 4.368
1.477 0.000 0.000
4.346 0.000 2.912
2.912 -2.234 1.456
2.912 2.231 1.456
2.912 -2.231 4.368
1.462 0.000 2.912
4.361 0.000 0.000
1.392 2.010 2.996
2.912 4.235 1.456
1.392 -2.010 2.828
2.912 0.210 1.456
2.912 -0.210 4.368
4.431 2.010 5.740
2.912 -4.235 4.368
4.431 -2.010 0.084

***

On energetic grounds, arrangement 1 is preferred over the next structure by 9 meV per atom.